Here is a geometry-optimized HgIr2 structure from Alexandria via LeMat-Bulk. Energies are from PBEsol.

The space group is Cmcm. The density of states at the Fermi level comes out at 4.04 states/eV/f.u. The formation energy is 156 kJ/mol of formula units.

a b c (Å): 3.9035 4.0355 6.3282
angles (deg): 90.00 107.96 90.00
Last column: nearest neighbours and their distance in Å.
Fractional positions:
Ir  0.7512  0.2500  0.5024  8 Ir 2.70-2.81, 4 Hg 2.81-2.84
Ir  0.2488  0.7500  0.4976  8 Ir 2.70-2.81, 4 Hg 2.81-2.84
Ir  0.5941  0.7500  0.1882  4 Ir 2.70-2.77, 6 Hg 2.81-2.89
Ir  0.4059  0.2500  0.8118  4 Ir 2.70-2.77, 6 Hg 2.81-2.89
Hg  0.9172  0.7500  0.8343  10 Ir 2.81-2.89, 2 Hg 2.84
Hg  0.0828  0.2500  0.1657  10 Ir 2.81-2.89, 2 Hg 2.84